(1)
The following is a DFT calculation (GGA-PBE) of crystalline ScOs at its relaxed geometry.

* magnetization: 0.2330 μB per atom
* ρ: 10.06 Mg/m³
* energy of formation: 658 meV/atom

Structure (POSCAR):
```
ScOs
1.0
-0.532 0.760 -3.685
-1.249 -2.721 -2.340
-3.523 0.179 -1.414
Os Sc
1 1
Direct
0.000 0.000 0.000
0.500 0.500 0.500
```

***

(2)
The following is a DFT calculation (GGA-PBE) of crystalline TaOsAu2 at its relaxed geometry.

* excess energy over the best structure of this formula in the dataset: 231 meV/atom
* magnetization: 0.0000 μB per atom
* ρ: 18.62 Mg/m³
* energy of formation: 268 meV/atom

Structure (POSCAR):
```
TaOsAu2
1.0
4.586 0.000 0.000
2.293 3.972 0.000
2.293 1.324 3.745
Au Ta Os
2 1 1
Direct
0.000 0.000 0.000
0.250 0.250 0.250
0.750 0.750 0.750
0.500 0.500 0.500
```

***

(3)
The following is a DFT calculation (GGA-PBE) of crystalline CsNi2P at its relaxed geometry.

* excess energy over the best structure of this formula in the dataset: 229 meV/atom
* magnetization: 0.0000 μB per atom
* ρ: 4.79 Mg/m³
* energy of formation: -29 meV/atom

Structure (POSCAR):
```
CsNi2P
1.0
5.337 0.000 0.000
0.000 5.337 0.000
2.669 2.669 6.839
Cs P Ni
2 2 4
Direct
0.750 0.250 0.500
0.000 0.000 0.000
0.250 0.750 0.500
0.500 0.500 0.000
0.875 0.625 0.750
0.375 0.125 0.250
0.375 0.625 0.250
0.375 0.625 0.750
```

***

(4)
The following is a DFT calculation (GGA-PBE) of crystalline Sm5Ga5Rh2 at its relaxed geometry.

* magnetization: 0.0000 μB per atom
* ρ: 7.84 Mg/m³
* energy of formation: -655 meV/atom

Structure (POSCAR):
```
Sm5Ga5Rh2
1.0
4.372 0.000 0.986
2.215 7.570 0.364
0.388 -0.561 8.462
Sm Ga Rh
5 5 2
Direct
0.362 0.945 0.331
0.693 0.688 0.926
0.000 0.500 0.500
0.638 0.055 0.669
0.307 0.312 0.074
0.047 0.712 0.194
0.000 0.000 0.000
0.719 0.230 0.332
0.953 0.288 0.806
0.281 0.770 0.668
0.396 0.448 0.759
0.604 0.552 0.241
```

***

(5)
The following is a DFT calculation (GGA-PBE) of crystalline Ba2FeRe at its relaxed geometry.

* excess energy over the best structure of this formula in the dataset: 922 meV/atom
* magnetization: 1.2101 μB per atom
* ρ: 8.13 Mg/m³
* energy of formation: 1355 meV/atom

Structure (POSCAR):
```
Ba2FeRe
1.0
-1.825 3.970 3.005
-1.900 -3.524 3.477
5.119 -0.138 -1.376
Ba Re Fe
2 1 1
Direct
0.000 0.000 0.000
0.250 0.750 0.500
0.750 0.250 0.500
0.500 0.500 0.000
```

***

(6)
The following is a DFT calculation (GGA-PBE) of crystalline PmY2Pd at its relaxed geometry.

* excess energy over the best structure of this formula in the dataset: 165 meV/atom
* magnetization: 0.0000 μB per atom
* ρ: 6.06 Mg/m³
* energy of formation: -289 meV/atom

Structure (POSCAR):
```
PmY2Pd
1.0
-2.498 -1.027 -2.552
0.936 -2.444 -2.638
-3.422 -8.540 4.082
Pd Y Pm
1 2 1
Direct
0.000 0.000 0.000
0.731 0.731 0.806
0.269 0.269 0.194
0.500 0.500 0.500
```

***

(7)
The following is a DFT calculation (GGA-PBE) of crystalline HfNbP at its relaxed geometry.

* excess energy over the best structure of this formula in the dataset: 386 meV/atom
* magnetization: 0.0000 μB per atom
* ρ: 8.90 Mg/m³
* energy of formation: -651 meV/atom

Structure (POSCAR):
```
HfNbP
1.0
-1.978 -2.447 1.650
-1.950 -3.240 -7.144
7.380 -3.277 0.164
P Hf Nb
4 4 4
Direct
0.341 0.441 0.682
0.413 0.851 0.827
0.587 0.149 0.173
0.659 0.559 0.318
0.419 0.182 0.839
0.581 0.818 0.161
0.078 0.392 0.155
0.922 0.608 0.845
0.748 0.319 0.497
0.252 0.681 0.503
0.814 0.945 0.629
0.186 0.055 0.371
```

***

(8)
The following is a DFT calculation (GGA-PBE) of crystalline PmPuRh2 at its relaxed geometry.

* excess energy over the best structure of this formula in the dataset: 0 meV/atom
* magnetization: 1.1340 μB per atom
* ρ: 11.18 Mg/m³
* energy of formation: -548 meV/atom

Structure (POSCAR):
```
PmPuRh2
1.0
4.484 0.000 0.000
2.242 3.883 0.000
2.242 1.294 5.072
Rh Pm Pu
2 1 1
Direct
0.720 0.720 0.839
0.280 0.280 0.161
0.500 0.500 0.500
0.000 0.000 0.000
```

***

(9)
The following is a DFT calculation (GGA-PBE) of crystalline ZnCuP2 at its relaxed geometry.

* magnetization: 0.0000 μB per atom
* ρ: 5.48 Mg/m³
* energy of formation: 391 meV/atom

Structure (POSCAR):
```
ZnCuP2
1.0
-2.434 2.814 2.685
-4.358 -1.073 -0.953
3.424 -2.812 1.193
Zn P Cu
1 2 1
Direct
0.250 0.750 0.500
0.500 0.500 0.000
0.000 0.000 0.000
0.750 0.250 0.500
```

***

(10)
The following is a DFT calculation (GGA-PBE) of crystalline Li2LaW at its relaxed geometry.

* excess energy over the best structure of this formula in the dataset: 54 meV/atom
* magnetization: 0.0000 μB per atom
* ρ: 6.73 Mg/m³
* energy of formation: 556 meV/atom

Structure (POSCAR):
```
Li2LaW
1.0
-4.553 -0.390 3.298
-5.570 -0.644 0.560
-0.133 -5.239 0.535
La Li W
1 2 1
Direct
0.250 0.250 0.250
0.483 0.483 0.555
0.017 0.017 0.945
0.750 0.750 0.750
```

***

(11)
The following is a DFT calculation (GGA-PBE) of crystalline Zr2AsRu at its relaxed geometry.

* magnetization: 0.0000 μB per atom
* ρ: 7.33 Mg/m³
* energy of formation: -498 meV/atom

Structure (POSCAR):
```
Zr2AsRu
1.0
-1.814 0.809 -3.222
-3.315 -0.133 1.833
0.416 5.526 1.154
Zr As Ru
2 1 1
Direct
0.500 0.500 0.294
0.000 0.000 0.927
0.000 0.000 0.429
0.500 0.500 0.850
```

***

(12)
The following is a DFT calculation (GGA-PBE) of crystalline LiGa2Ag7 at its relaxed geometry.

* magnetization: 0.0000 μB per atom
* ρ: 6.66 Mg/m³
* energy of formation: 146 meV/atom

Structure (POSCAR):
```
LiGa2Ag7
1.0
-1.486 -0.141 -4.429
6.855 -1.510 -2.252
-4.400 -5.678 1.656
Ag Li Ga
7 1 2
Direct
0.500 0.932 0.703
0.500 0.068 0.297
0.500 0.297 0.068
0.500 0.703 0.932
0.000 0.789 0.211
0.000 0.211 0.789
0.500 0.500 0.500
0.000 0.000 0.000
0.500 0.298 0.702
0.500 0.702 0.298
```

***

Among the records above, which one has the lowest energy of formation?
Sm5Ga5Rh2

***

Please write out number 3 again, unchanged.
The following is a DFT calculation (GGA-PBE) of crystalline CsNi2P at its relaxed geometry.

* excess energy over the best structure of this formula in the dataset: 229 meV/atom
* magnetization: 0.0000 μB per atom
* ρ: 4.79 Mg/m³
* energy of formation: -29 meV/atom

Structure (POSCAR):
```
CsNi2P
1.0
5.337 0.000 0.000
0.000 5.337 0.000
2.669 2.669 6.839
Cs P Ni
2 2 4
Direct
0.750 0.250 0.500
0.000 0.000 0.000
0.250 0.750 0.500
0.500 0.500 0.000
0.875 0.625 0.750
0.375 0.125 0.250
0.375 0.625 0.250
0.375 0.625 0.750
```

***

Which value of ρ does entry 6 give?
6.06 Mg/m³